The following is a PBE calculation of a geometry-optimized ZrCrCuS4 structure, from the Alexandria database. Values from VASP.

Quantum ESPRESSO input file:
```
&SYSTEM
  ibrav = 0, nat = 28, ntyp = 4
/
ATOMIC_SPECIES
Zr 91.22 Zr.upf
Cr 52.00 Cr.upf
Cu 63.55 Cu.upf
S 32.06 S.upf
ATOMIC_POSITIONS crystal
Zr 0.9342 0.7500 0.3335
Zr 0.0658 0.2500 0.6665
Zr 0.5658 0.2500 0.8335
Zr 0.4342 0.7500 0.1665
Cr 0.1746 0.2500 0.9222
Cr 0.8254 0.7500 0.0778
Cr 0.3254 0.7500 0.4222
Cr 0.6746 0.2500 0.5778
Cu 0.2241 0.2500 0.3873
Cu 0.7759 0.7500 0.6127
Cu 0.2759 0.7500 0.8873
Cu 0.7241 0.2500 0.1127
S 0.2633 0.4725 0.7967
S 0.7367 0.5275 0.2033
S 0.2367 0.5275 0.2967
S 0.7633 0.4725 0.7033
S 0.7633 0.0275 0.7033
S 0.2367 0.9725 0.2967
S 0.7367 0.9725 0.2033
S 0.2633 0.0275 0.7967
S 0.9223 0.2500 0.4687
S 0.0777 0.7500 0.5313
S 0.5777 0.7500 0.9687
S 0.4223 0.2500 0.0313
S 0.1341 0.7500 0.0558
S 0.8659 0.2500 0.9442
S 0.3659 0.2500 0.5558
S 0.6341 0.7500 0.4442
CELL_PARAMETERS angstrom
7.0767 0.0000 0.0000
0.0000 7.0891 0.0000
0.0000 0.0000 12.1538
```

Values from the calculation:
- Distance to the lowest polymorph of the same formula: 0.244 eV per atom
- Formation energy without anion corrections: -0.727 eV/atom
- E_tot: -175.47 eV per cell
- Fermi-level density of states: 0.133 states/eV/atom
- Crystal system: orthorhombic